1.
First-principles (PBE) data for a geometry-optimized BePtCl2 structure, as listed in Alexandria via LeMat-Bulk.

Computed properties:
Space-group type: No. 71
Total magnetic moment, μB/cell: 0.0
E_form (uncorrected), kJ/mol of formula units: 23
Distance to the lowest polymorph of the same formula, meV/atom: 496

Cell lengths 5.2150, 5.2150, 5.2150 Å; angles 147.21, 105.10, 84.19 degrees
Last column: nearest neighbours and their distance in Å.
Positions (direct):
Be  0.2500  0.7500  0.5000  4 Cl 2.10
Cl  0.4436  0.4436  0.0000  2 Be 2.10
Cl  0.0564  0.0564  0.0000  2 Be 2.10
Pt  0.7500  0.2500  0.5000  4 Cl 2.79, 2 Pt 2.94

2.
First-principles (PBE) data for a geometry-optimized La8SiNi3I4 structure, as listed in Alexandria via LeMat-Bulk.

Computed properties:
Space-group type: No. 12
Total magnetic moment, μB/cell: 0.0
E_form (uncorrected), kJ/mol of formula units: -1171

Cell lengths 8.4607, 9.4726, 8.6131 Å; angles 117.22, 119.42, 90.00 degrees
Last column: nearest neighbours and their distance in Å.
Positions (direct):
I  0.0000  0.0000  0.5000  6 La 3.51-3.55
I  0.5000  0.0000  0.5000  6 La 3.51-3.55
I  0.0000  0.0000  0.0000  6 La 3.50-3.54
I  0.5000  0.0000  0.0000  6 La 3.44-3.49
Ni  0.5000  0.5000  0.5000  6 La 2.85-2.97
Ni  0.5000  0.5000  0.0000  6 La 2.84-2.99
Ni  0.0000  0.5000  0.5000  6 La 2.85-2.97
La  0.7649  0.3104  0.5298  2 Ni 2.86, 1 Si 3.00
La  0.7342  0.6867  0.4684  3 Ni 2.85-2.99
La  0.2773  0.3068  0.0358  2 Ni 2.84-2.97, 1 Si 2.96
La  0.7584  0.3068  0.0358  2 Ni 2.84-2.97, 1 Si 2.96
La  0.7227  0.6932  0.9642  2 Ni 2.84-2.97, 1 Si 2.96
La  0.2351  0.6896  0.4702  2 Ni 2.86, 1 Si 3.00
La  0.2658  0.3133  0.5316  3 Ni 2.85-2.99
La  0.2416  0.6932  0.9642  2 Ni 2.84-2.97, 1 Si 2.96
Si  0.0000  0.5000  0.0000  6 La 2.96-3.00

3.
First-principles (PBE) data for a geometry-optimized Na4Ir3O8 structure, as listed in Alexandria via LeMat-Bulk.

Computed properties:
Space-group type: No. 166
Total magnetic moment, μB/cell: 0.0
E_form (uncorrected), kJ/mol of formula units: -1562

Cell lengths 6.3470, 6.3470, 6.7321 Å; angles 61.87, 61.87, 60.00 degrees
Last column: nearest neighbours and their distance in Å.
Positions (direct):
O  0.1952  0.7445  0.3158  2 Ir 2.03, 1 Na 2.27
O  0.7766  0.7766  0.6702  3 Ir 2.07, 1 Na 2.20
O  0.7445  0.1952  0.3158  2 Ir 2.03, 1 Na 2.27
O  0.2555  0.2555  0.6842  2 Ir 2.03, 1 Na 2.27
O  0.8048  0.2555  0.6842  2 Ir 2.03, 1 Na 2.27
O  0.2555  0.8048  0.6842  2 Ir 2.03, 1 Na 2.27
O  0.2234  0.2234  0.3298  3 Ir 2.07, 1 Na 2.20
O  0.7445  0.7445  0.3158  2 Ir 2.03, 1 Na 2.27
Ir  0.5000  0.0000  0.5000  6 O 2.03-2.07
Ir  0.0000  0.5000  0.5000  6 O 2.03-2.07
Ir  0.0000  0.0000  0.5000  6 O 2.03-2.07
Na  0.3535  0.3535  0.9396  1 O 2.20
Na  0.5000  0.5000  0.5000  6 O 2.27, 2 Na 2.48
Na  0.6465  0.6465  0.0604  1 O 2.20
Na  0.0000  0.0000  0.0000  6 O 2.43

4.
First-principles (PBE) data for a geometry-optimized ScV2Pd9 structure, as listed in Alexandria via LeMat-Bulk.

Computed properties:
Energy of formation from the pure elements, eV/atom: -0.440
Space-group type: No. 123
Total magnetic moment, μB/cell: 1.8

Cell lengths 3.9278, 3.9278, 11.8335 Å; angles 90.00, 90.00, 90.00 degrees
Last column: nearest neighbours and their distance in Å.
Positions (direct):
Pd  0.0000  0.5000  0.1752  2 V 2.71, 8 Pd 2.75-2.86, 2 Sc 2.86
Pd  0.5000  0.5000  0.6626  8 Pd 2.75, 4 V 2.78
Pd  0.0000  0.5000  0.8248  2 V 2.71, 8 Pd 2.75-2.86, 2 Sc 2.86
Pd  0.5000  0.0000  0.8248  2 V 2.71, 8 Pd 2.75-2.86, 2 Sc 2.86
Pd  0.0000  0.5000  0.5000  8 Pd 2.75-2.78, 4 V 2.78
Pd  0.5000  0.5000  0.3374  8 Pd 2.75, 4 V 2.78
Pd  0.5000  0.0000  0.5000  8 Pd 2.75-2.78, 4 V 2.78
Pd  0.5000  0.5000  0.0000  4 Sc 2.78, 8 Pd 2.86
Pd  0.5000  0.0000  0.1752  2 V 2.71, 8 Pd 2.75-2.86, 2 Sc 2.86
Sc  0.0000  0.0000  0.0000  12 Pd 2.78-2.86
V  0.0000  0.0000  0.6665  12 Pd 2.71-2.78
V  0.0000  0.0000  0.3335  12 Pd 2.71-2.78